A relaxed YScCr2O crystal. Source: the Alexandria database, functional PBE+U.

Space group ... P4/mmm (123)
Spin magnetization ... 6.99 μB/f.u.
Uncorrected energy ... -6.96 eV/atom

abc: 4.384 4.838 4.384
angles: 90.00 90.00 90.00
Last column: magnetic moment on the atom in μB.
Element x y z (fractional)
Y (0.000, 0.500, 0.000)  -0.23
Sc (0.500, 0.500, 0.500)  -0.43
Cr (0.000, 0.000, 0.500)  3.79
Cr (0.500, 0.000, 0.000)  3.77
O (0.000, 0.000, 0.000)  -0.10

***

A relaxed ScZnCr2O6 crystal. Source: the Alexandria database, functional PBE+U.

Space group ... P1 (1)
Spin magnetization ... 5.00 μB/f.u.
Uncorrected energy ... -7.31 eV/atom

abc: 5.205 5.174 5.462
angles: 61.76 60.93 59.71
Last column: magnetic moment on the atom in μB.
Element x y z (fractional)
Cr (0.018, 0.016, 0.952)  2.25
Cr (0.516, 0.515, 0.458)  2.94
O (0.229, 0.892, 0.237)  -0.04
O (0.740, 0.135, 0.740)  -0.03
O (0.381, 0.759, 0.727)  -0.07
O (0.130, 0.383, 0.733)  -0.06
O (0.643, 0.229, 0.235)  -0.06
O (0.898, 0.639, 0.233)  -0.05
Sc (0.807, 0.807, 0.585)  0.02
Zn (0.301, 0.287, 0.116)  0.01

***

A relaxed ZrScCr2O6 crystal. Source: the Alexandria database, functional PBE+U.

Space group ... P1 (1)
Spin magnetization ... 7.00 μB/f.u.
Uncorrected energy ... -8.61 eV/atom

abc: 5.356 5.403 5.616
angles: 63.23 63.04 58.38
Last column: magnetic moment on the atom in μB.
Element x y z (fractional)
O (0.899, 0.591, 0.272)  0.01
O (0.714, 0.123, 0.743)  -0.03
O (0.422, 0.714, 0.743)  -0.03
O (0.132, 0.442, 0.735)  0.00
O (0.234, 0.907, 0.243)  -0.02
O (0.618, 0.230, 0.245)  -0.02
Sc (0.805, 0.814, 0.561)  0.03
Cr (0.023, 0.024, 0.934)  3.73
Cr (0.514, 0.514, 0.463)  3.04
Zr (0.302, 0.303, 0.077)  0.03

***

A relaxed CrSeO3 crystal. Source: the Alexandria database, functional PBE+U.

Space group ... Pm-3m (221)
Spin magnetization ... 4.27 μB/f.u.
Uncorrected energy ... -5.49 eV/atom

abc: 3.865 3.865 3.865
angles: 90.00 90.00 90.00
Last column: magnetic moment on the atom in μB.
Element x y z (fractional)
O (0.000, 0.000, 0.500)  -0.02
O (0.000, 0.500, 0.000)  -0.05
O (0.500, 0.000, 0.000)  -0.04
Se (0.000, 0.000, 0.000)  -0.03
Cr (0.500, 0.500, 0.500)  4.19

***

A relaxed CrSe2O crystal. Source: the Alexandria database, functional PBE+U.

Space group ... R-3m (166)
Spin magnetization ... 3.13 μB/f.u.
Uncorrected energy ... -4.99 eV/atom

abc: 6.704 6.704 6.704
angles: 34.19 34.19 34.19
Last column: magnetic moment on the atom in μB.
Element x y z (fractional)
Cr (0.500, 0.500, 0.500)  3.56
O (0.000, 0.000, 0.000)  -0.10
Se (0.900, 0.900, 0.900)  -0.19
Se (0.100, 0.100, 0.100)  -0.19

***

A relaxed CrSeO3 crystal. Source: the Alexandria database, functional PBE+U.

Space group ... Pm-3m (221)
Spin magnetization ... 0.00 μB/f.u.
Uncorrected energy ... -5.31 eV/atom

abc: 3.750 3.750 3.750
angles: 90.00 90.00 90.00
Element x y z (fractional)
O (0.500, 0.000, 0.000)
O (0.000, 0.000, 0.500)
O (0.000, 0.500, 0.000)
Se (0.500, 0.500, 0.500)
Cr (0.000, 0.000, 0.000)

***

A relaxed CrSe3O crystal. Source: the Alexandria database, functional PBE+U.

Space group ... Pm-3m (221)
Spin magnetization ... 0.00 μB/f.u.
Uncorrected energy ... -3.42 eV/atom

abc: 4.636 4.636 4.636
angles: 90.00 90.00 90.00
Element x y z (fractional)
Se (0.000, 0.000, 0.500)
Se (0.500, 0.000, 0.000)
Se (0.000, 0.500, 0.000)
Cr (0.000, 0.000, 0.000)
O (0.500, 0.500, 0.500)

***

A relaxed CrSe2O crystal. Source: the Alexandria database, functional PBE+U.

Space group ... I-42d (122)
Spin magnetization ... 0.00 μB/f.u.
Uncorrected energy ... -4.19 eV/atom

abc: 5.027 5.027 7.117
angles: 69.32 69.32 90.00
Last column: magnetic moment on the atom in μB.
Element x y z (fractional)
Se (0.165, 0.625, 0.250)  -0.01
Se (0.875, 0.835, 0.750)  -0.02
Se (0.585, 0.125, 0.250)  -0.01
Se (0.375, 0.415, 0.750)  -0.01
Cr (0.000, 0.000, 0.000)  0.26
Cr (0.750, 0.250, 0.500)  0.26
O (0.500, 0.500, 0.000)  -0.14
O (0.250, 0.750, 0.500)  -0.13

***

A relaxed CrSe2O crystal. Source: the Alexandria database, functional PBE+U.

Space group ... R-3m (166)
Spin magnetization ... 0.56 μB/f.u.
Uncorrected energy ... -3.72 eV/atom

abc: 8.328 8.328 8.328
angles: 21.28 21.28 21.28
Last column: magnetic moment on the atom in μB.
Element x y z (fractional)
Se (0.901, 0.901, 0.901)  0.00
Se (0.099, 0.099, 0.099)  0.00
O (0.500, 0.500, 0.500)  0.07
Cr (0.000, 0.000, 0.000)  0.45

***

A relaxed SmCrSeO2 crystal. Source: the Alexandria database, functional PBE+U.

Space group ... Cmcm (63)
Spin magnetization ... 3.00 μB/f.u.
Uncorrected energy ... -7.12 eV/atom

abc: 5.311 5.354 6.562
angles: 114.08 90.00 90.00
Last column: magnetic moment on the atom in μB.
Element x y z (fractional)
Sm (0.250, 0.616, 0.231)  0.01
Sm (0.750, 0.384, 0.769)  0.01
O (0.000, 0.760, 0.000)  -0.08
O (0.500, 0.240, 0.000)  -0.08
O (0.500, 0.760, 0.000)  -0.08
O (0.000, 0.240, 0.000)  -0.08
Cr (0.750, 0.057, 0.115)  3.13
Cr (0.250, 0.943, 0.885)  3.13
Se (0.250, 0.244, 0.488)  -0.07
Se (0.750, 0.756, 0.512)  -0.07

***

A relaxed SrCr2SeO8 crystal. Source: the Alexandria database, functional PBE+U.

Space group ... P-1 (2)
Spin magnetization ... 0.00 μB/f.u.
Uncorrected energy ... -6.35 eV/atom

abc: 5.541 5.104 8.152
angles: 89.42 78.10 68.58
Element x y z (fractional)
Cr (0.695, 0.596, 0.254)
Cr (0.305, 0.404, 0.746)
O (0.375, 0.665, 0.284)
O (0.246, 0.288, 0.578)
O (0.213, 0.243, 0.915)
O (0.871, 0.233, 0.229)
O (0.129, 0.767, 0.771)
O (0.787, 0.757, 0.085)
O (0.754, 0.712, 0.422)
O (0.625, 0.335, 0.716)
Se (0.000, 0.000, 0.000)
Sr (0.000, 0.000, 0.500)

***

A relaxed SrCr3Se4O12 crystal. Source: the Alexandria database, functional PBE+U.

Space group ... R32 (155)
Spin magnetization ... 8.47 μB/f.u.
Uncorrected energy ... -6.02 eV/atom

abc: 6.684 6.684 6.684
angles: 104.41 104.41 104.41
Last column: magnetic moment on the atom in μB.
Element x y z (fractional)
O (0.943, 0.500, 0.057)  -0.03
O (0.500, 0.316, 0.684)  -0.04
O (0.684, 0.500, 0.316)  -0.04
O (0.357, 0.028, 0.287)  -0.05
O (0.028, 0.287, 0.357)  -0.05
O (0.643, 0.713, 0.972)  -0.05
O (0.972, 0.643, 0.713)  -0.05
O (0.713, 0.972, 0.643)  -0.05
O (0.057, 0.943, 0.500)  -0.03
O (0.287, 0.357, 0.028)  -0.05
O (0.500, 0.057, 0.943)  -0.03
O (0.316, 0.684, 0.500)  -0.04
Se (0.888, 0.112, 0.500)  0.01
Se (0.500, 0.888, 0.112)  0.01
Se (0.112, 0.500, 0.888)  0.01
Se (0.500, 0.500, 0.500)  -0.10
Cr (0.584, 0.416, 0.000)  2.94
Cr (0.000, 0.584, 0.416)  2.94
Cr (0.416, 0.000, 0.584)  2.94
Sr (0.000, 0.000, 0.000)  0.00

***

A relaxed SrCrSeO6 crystal. Source: the Alexandria database, functional PBE+U.

Space group ... C2 (5)
Spin magnetization ... 2.00 μB/f.u.
Uncorrected energy ... -6.29 eV/atom

abc: 5.094 4.995 5.427
angles: 89.35 88.72 59.34
Last column: magnetic moment on the atom in μB.
Element x y z (fractional)
O (0.609, 0.017, 0.307)  -0.02
O (0.014, 0.384, 0.302)  -0.08
O (0.016, 0.610, 0.693)  -0.01
O (0.602, 0.384, 0.698)  -0.08
O (0.375, 0.017, 0.693)  -0.02
O (0.374, 0.610, 0.307)  -0.01
Se (0.333, 0.334, 0.500)  0.03
Sr (0.003, 0.994, 0.000)  0.00
Cr (0.675, 0.650, 0.500)  2.16

***

A relaxed TaCrSe2O crystal. Source: the Alexandria database, functional PBE+U.

Space group ... P4/mmm (123)
Spin magnetization ... 1.48 μB/f.u.
Uncorrected energy ... -5.11 eV/atom

abc: 4.878 5.574 4.878
angles: 90.00 90.00 90.00
Last column: magnetic moment on the atom in μB.
Element x y z (fractional)
Cr (0.000, 0.500, 0.000)  -0.12
Se (0.000, 0.000, 0.500)  0.02
Se (0.500, 0.000, 0.000)  0.05
O (0.500, 0.500, 0.500)  -0.91
Ta (0.000, 0.000, 0.000)  -0.23

***

A relaxed TiCr2SeO crystal. Source: the Alexandria database, functional PBE+U.

Space group ... P4/mmm (123)
Spin magnetization ... 7.80 μB/f.u.
Uncorrected energy ... -6.84 eV/atom

abc: 4.467 4.039 4.467
angles: 90.00 90.00 90.00
Last column: magnetic moment on the atom in μB.
Element x y z (fractional)
Cr (0.500, 0.000, 0.000)  4.18
Cr (0.000, 0.000, 0.500)  4.29
Ti (0.000, 0.500, 0.000)  -1.16
O (0.000, 0.000, 0.000)  0.01
Se (0.500, 0.500, 0.500)  0.01

***

A relaxed TlCrSeO5 crystal. Source: the Alexandria database, functional PBE+U.

Space group ... C2/c (15)
Spin magnetization ... 3.00 μB/f.u.
Uncorrected energy ... -5.65 eV/atom

abc: 5.952 5.952 7.930
angles: 110.29 110.29 88.71
Last column: magnetic moment on the atom in μB.
Element x y z (fractional)
O (0.284, 0.724, 0.505)  -0.04
O (0.090, 0.910, 0.250)  -0.06
O (0.346, 0.324, 0.163)  -0.02
O (0.910, 0.090, 0.750)  -0.06
O (0.654, 0.676, 0.837)  -0.02
O (0.716, 0.276, 0.495)  -0.04
O (0.276, 0.716, 0.995)  -0.04
O (0.676, 0.654, 0.337)  -0.02
O (0.724, 0.284, 0.005)  -0.04
O (0.324, 0.346, 0.663)  -0.02
Se (0.663, 0.337, 0.250)  0.02
Se (0.337, 0.663, 0.750)  0.02
Cr (0.680, 0.320, 0.750)  3.00
Cr (0.320, 0.680, 0.250)  3.00
Tl (0.000, 0.000, 0.000)  0.02
Tl (0.000, 0.000, 0.500)  0.02

***

A relaxed TlCr3Se4O12 crystal. Source: the Alexandria database, functional PBE+U.

Space group ... R32 (155)
Spin magnetization ... 7.38 μB/f.u.
Uncorrected energy ... -5.75 eV/atom

abc: 7.091 7.091 7.091
angles: 106.81 106.81 106.81
Last column: magnetic moment on the atom in μB.
Element x y z (fractional)
Se (0.500, 0.500, 0.500)  0.36
Se (0.895, 0.105, 0.500)  -0.05
Se (0.105, 0.500, 0.895)  -0.05
Se (0.500, 0.895, 0.105)  -0.05
O (0.330, 0.670, 0.500)  0.03
O (0.375, 0.946, 0.283)  -0.10
O (0.717, 0.054, 0.625)  -0.10
O (0.946, 0.283, 0.375)  -0.10
O (0.891, 0.500, 0.109)  -0.20
O (0.500, 0.330, 0.670)  0.03
O (0.670, 0.500, 0.330)  0.03
O (0.625, 0.717, 0.054)  -0.10
O (0.500, 0.109, 0.891)  -0.20
O (0.283, 0.375, 0.946)  -0.10
O (0.109, 0.891, 0.500)  -0.20
O (0.054, 0.625, 0.717)  -0.10
Cr (0.412, 0.000, 0.588)  2.69
Cr (0.000, 0.588, 0.412)  2.69
Cr (0.588, 0.412, 0.000)  2.69
Tl (0.000, 0.000, 0.000)  0.00

***

A relaxed TlCrSeO4 crystal. Source: the Alexandria database, functional PBE+U.

Space group ... F-43m (216)
Spin magnetization ... 3.00 μB/f.u.
Uncorrected energy ... -5.43 eV/atom

abc: 6.144 6.144 6.144
angles: 60.00 60.00 60.00
Last column: magnetic moment on the atom in μB.
Element x y z (fractional)
Cr (0.500, 0.500, 0.500)  3.06
Tl (0.750, 0.750, 0.750)  0.01
O (0.375, 0.375, 0.876)  -0.08
O (0.375, 0.375, 0.375)  -0.08
O (0.876, 0.375, 0.375)  -0.08
O (0.375, 0.876, 0.375)  -0.08
Se (0.250, 0.250, 0.250)  0.09

***

A relaxed TlCrSe2O8 crystal. Source: the Alexandria database, functional PBE+U.

Space group ... C2/m (12)
Spin magnetization ... 3.00 μB/f.u.
Uncorrected energy ... -5.67 eV/atom

abc: 5.062 5.062 8.460
angles: 85.73 85.73 65.58
Last column: magnetic moment on the atom in μB.
Element x y z (fractional)
O (0.689, 0.689, 0.368)  0.00
O (0.242, 0.737, 0.826)  -0.01
O (0.235, 0.235, 0.966)  -0.01
O (0.737, 0.242, 0.826)  -0.01
O (0.311, 0.311, 0.632)  0.00
O (0.765, 0.765, 0.034)  -0.01
O (0.758, 0.263, 0.174)  -0.01
O (0.263, 0.758, 0.174)  -0.01
Tl (0.000, 0.000, 0.500)  0.00
Se (0.372, 0.372, 0.811)  0.01
Se (0.628, 0.628, 0.189)  0.01
Cr (0.000, 0.000, 0.000)  2.95

***

A relaxed Tl2CrSe2O6 crystal. Source: the Alexandria database, functional PBE+U.

Space group ... C2/m (12)
Spin magnetization ... 4.00 μB/f.u.
Uncorrected energy ... -5.39 eV/atom

abc: 6.120 5.443 7.536
angles: 104.77 90.00 124.21
Last column: magnetic moment on the atom in μB.
Element x y z (fractional)
O (0.211, 0.981, 0.289)  0.00
O (0.231, 0.019, 0.711)  0.00
O (0.263, 0.525, 0.469)  -0.01
O (0.789, 0.019, 0.711)  0.00
O (0.769, 0.981, 0.289)  0.00
O (0.737, 0.475, 0.531)  -0.01
Se (0.105, 0.209, 0.268)  0.02
Se (0.895, 0.791, 0.732)  0.02
Cr (0.500, 0.000, 0.500)  3.77
Tl (0.289, 0.578, 0.834)  0.00
Tl (0.711, 0.422, 0.166)  0.00

***

A relaxed Cr2SiO5 crystal. Source: the Alexandria database, functional PBE+U.

Space group ... Pnma (62)
Spin magnetization ... 6.00 μB/f.u.
Uncorrected energy ... -7.80 eV/atom

abc: 3.172 9.614 10.188
angles: 90.00 90.00 90.00
Last column: magnetic moment on the atom in μB.
Element x y z (fractional)
O (0.750, 0.247, 0.448)  -0.08
O (0.250, 0.477, 0.307)  -0.03
O (0.250, 0.977, 0.193)  -0.03
O (0.750, 0.098, 0.056)  -0.01
O (0.750, 0.023, 0.807)  -0.03
O (0.750, 0.523, 0.693)  -0.03
O (0.750, 0.266, 0.726)  -0.04
O (0.250, 0.028, 0.598)  -0.12
O (0.750, 0.598, 0.444)  -0.01
O (0.750, 0.472, 0.098)  -0.12
O (0.250, 0.753, 0.552)  -0.08
O (0.250, 0.234, 0.226)  -0.04
O (0.250, 0.734, 0.274)  -0.04
O (0.750, 0.972, 0.402)  -0.12
O (0.750, 0.747, 0.052)  -0.08
O (0.250, 0.902, 0.944)  -0.01
O (0.750, 0.766, 0.774)  -0.04
O (0.250, 0.528, 0.902)  -0.12
O (0.250, 0.253, 0.948)  -0.08
O (0.250, 0.402, 0.556)  -0.01
Cr (0.250, 0.137, 0.769)  3.02
Cr (0.750, 0.863, 0.231)  3.02
Cr (0.750, 0.888, 0.581)  3.08
Cr (0.250, 0.637, 0.731)  3.02
Cr (0.750, 0.388, 0.919)  3.08
Cr (0.250, 0.112, 0.419)  3.08
Cr (0.250, 0.612, 0.081)  3.08
Cr (0.750, 0.363, 0.269)  3.02
Si (0.750, 0.876, 0.906)  0.01
Si (0.250, 0.124, 0.094)  0.01
Si (0.250, 0.624, 0.406)  0.01
Si (0.750, 0.376, 0.594)  0.01

***

A relaxed CrSiO3 crystal. Source: the Alexandria database, functional PBE+U.

Space group ... Pm-3m (221)
Spin magnetization ... 4.00 μB/f.u.
Uncorrected energy ... -7.30 eV/atom

abc: 3.523 3.523 3.523
angles: 90.00 90.00 90.00
Last column: magnetic moment on the atom in μB.
Element x y z (fractional)
Si (0.000, 0.000, 0.000)  0.00
O (0.000, 0.500, 0.000)  -0.07
O (0.000, 0.000, 0.500)  -0.03
O (0.500, 0.000, 0.000)  -0.03
Cr (0.500, 0.500, 0.500)  3.96